Record 1
Computed, not measured: a relaxed structure of SmY6Tm2 at the PBE-GGA level of DFT.

The structure in POSCAR format:
```
SmY6Tm2
1.0
-2.035 -2.266 1.761
0.920 -7.244 -4.744
7.015 -5.019 5.164
Y Tm Sm
6 2 1
direct
0.614 0.328 0.445
0.048 0.653 0.251
0.386 0.672 0.555
0.231 0.652 0.887
0.952 0.347 0.749
0.769 0.348 0.113
0.672 0.980 0.676
0.328 0.020 0.324
0.000 0.000 0.000
```

Results
M_tot = 0.0 μB/f.u.
formation energy from the elements = 0.105 eV/atom

Record 2
Computed, not measured: a relaxed structure of Sm6Y3Tm at the PBE-GGA level of DFT.

The structure in POSCAR format:
```
Sm6Y3Tm
1.0
-4.540 1.182 3.952
0.284 -8.884 2.982
7.899 2.965 8.083
Y Sm Tm
6 12 2
direct
0.611 0.821 0.250
0.389 0.179 0.750
0.000 0.000 0.500
0.111 0.679 0.750
0.889 0.321 0.250
0.500 0.500 0.000
0.999 0.346 0.580
0.129 0.967 0.250
0.999 0.343 0.921
0.001 0.654 0.420
0.371 0.467 0.250
0.001 0.657 0.079
0.499 0.154 0.080
0.629 0.533 0.750
0.501 0.843 0.579
0.499 0.157 0.421
0.501 0.846 0.920
0.871 0.033 0.750
0.000 0.000 0.000
0.500 0.500 0.500
```

Results
M_tot = 0.0 μB/f.u.
formation energy from the elements = 0.202 eV/atom

Record 3
Computed, not measured: a relaxed structure of Sm2Y6Tm5 at the PBE-GGA level of DFT.

The structure in POSCAR format:
```
Sm2Y6Tm5
1.0
3.575 0.000 0.000
0.000 11.677 0.000
0.000 0.000 20.110
Sm Y Tm
4 12 10
direct
0.000 0.663 0.713
0.000 0.163 0.787
0.000 0.337 0.287
0.000 0.837 0.213
0.000 0.943 0.920
0.000 0.586 0.132
0.000 0.443 0.580
0.000 0.557 0.420
0.500 0.326 0.129
0.000 0.414 0.868
0.500 0.174 0.629
0.000 0.086 0.368
0.500 0.826 0.371
0.000 0.914 0.632
0.500 0.674 0.871
0.000 0.057 0.080
0.500 0.801 0.049
0.500 0.699 0.549
0.500 0.404 0.725
0.500 0.000 0.500
0.500 0.199 0.951
0.500 0.500 0.000
0.500 0.301 0.451
0.500 0.096 0.225
0.500 0.596 0.275
0.500 0.904 0.775
```

Results
M_tot = 0.0 μB/f.u.
formation energy from the elements = 0.104 eV/atom

Record 4
Computed, not measured: a relaxed structure of Sm2Y9Tm at the PBE-GGA level of DFT.

The structure in POSCAR format:
```
Sm2Y9Tm
1.0
-2.022 -4.461 1.256
3.792 -2.380 -2.349
7.990 0.008 12.890
Tm Y Sm
1 9 2
direct
0.000 0.000 0.000
0.500 0.500 0.668
0.000 0.500 0.500
0.000 0.500 0.835
0.500 0.000 0.835
0.500 0.000 0.500
0.000 0.500 0.165
0.500 0.000 0.165
0.500 0.500 0.000
0.500 0.500 0.332
0.000 0.000 0.667
0.000 0.000 0.333
```

Results
M_tot = 0.0 μB/f.u.
formation energy from the elements = 0.025 eV/atom

Record 5
Computed, not measured: a relaxed structure of Sm3Y7Tm2 at the PBE-GGA level of DFT.

The structure in POSCAR format:
```
Sm3Y7Tm2
1.0
-16.743 2.795 9.077
14.695 -8.149 -9.391
1.565 -0.782 3.128
Sm Y Tm
3 7 2
direct
0.816 0.184 0.000
0.184 0.816 0.000
0.500 0.500 0.500
0.428 0.572 0.000
0.908 0.092 0.500
0.092 0.908 0.500
0.731 0.269 0.500
0.269 0.731 0.500
0.572 0.428 0.000
0.000 0.000 0.000
0.353 0.647 0.500
0.647 0.353 0.500
```

Results
M_tot = 0.0 μB/f.u.
formation energy from the elements = 0.117 eV/atom

Record 6
Computed, not measured: a relaxed structure of Sm2YTm at the PBE-GGA level of DFT.

The structure in POSCAR format:
```
Sm2YTm
1.0
3.584 0.000 0.000
0.000 3.584 0.000
0.000 0.000 10.101
Tm Y Sm
1 1 2
direct
0.500 0.500 0.000
0.500 0.500 0.500
0.000 0.000 0.247
0.000 0.000 0.753
```

Results
M_tot = 0.0 μB/f.u.
formation energy from the elements = 0.022 eV/atom

Record 7
Computed, not measured: a relaxed structure of SmY2Tm7 at the PBE-GGA level of DFT.

The structure in POSCAR format:
```
SmY2Tm7
1.0
5.114 0.000 0.000
0.000 9.627 -0.900
0.000 -5.147 8.186
Sm Y Tm
1 2 7
direct
0.000 0.000 0.000
0.500 0.298 0.702
0.500 0.702 0.298
0.500 0.072 0.287
0.500 0.500 0.500
0.500 0.713 0.928
0.500 0.287 0.072
0.500 0.928 0.713
0.000 0.194 0.806
0.000 0.806 0.194
```

Results
M_tot = 0.0 μB/f.u.
formation energy from the elements = 0.721 eV/atom

Record 8
Computed, not measured: a relaxed structure of SmY6Tm8 at the PBE-GGA level of DFT.

The structure in POSCAR format:
```
SmY6Tm8
1.0
-2.022 6.080 0.098
-8.928 -2.968 -0.012
4.493 1.363 8.153
Tm Y Sm
8 6 1
direct
0.851 0.333 0.667
0.090 0.022 0.686
0.910 0.336 0.022
0.090 0.314 0.336
0.090 0.664 0.978
0.149 0.667 0.333
0.910 0.978 0.314
0.910 0.686 0.664
0.587 0.895 0.579
0.587 0.421 0.316
0.587 0.684 0.105
0.413 0.105 0.421
0.413 0.579 0.684
0.413 0.316 0.895
0.500 0.000 0.000
```

Results
M_tot = 0.0 μB/f.u.
formation energy from the elements = 0.235 eV/atom